First-principles (GGA-PBE) data for crystalline BeSnIrO2 at its relaxed geometry, as listed in Alexandria.

Summary:
**ρ**: 7.079 Mg/m³
**E_tot**: -0.3633 Ry per atom
**Uncorrected formation energy**: 1.791 eV per formula unit

abc: 3.8369 5.6080 3.8369
angles: 90.00 90.00 90.00
With the nearest neighbours (Å) after each atom.
Fractional positions:
Ir1 0.0000 0.5000 0.0000  4 Be 2.71, 2 Sn 2.80
O1 0.5000 0.0000 0.0000  2 Sn 1.92
O2 0.0000 0.0000 0.5000  2 Sn 1.92
Be1 0.5000 0.5000 0.5000  4 Ir 2.71
Sn1 0.0000 0.0000 0.0000  4 O 1.92



First-principles (GGA-PBE) data for crystalline BeSnIrO6 at its relaxed geometry, as listed in Alexandria.

Summary:
**ρ**: 7.421 Mg/m³
**E_tot**: -0.4691 Ry per atom
**Uncorrected formation energy**: -11.098 eV per formula unit

abc: 4.9216 4.9216 8.8738
angles: 90.00 90.00 120.00
With the nearest neighbours (Å) after each atom.
Fractional positions:
O1 0.3457 0.3618 0.8647  1 Be 1.84, 1 Ir 1.94
Ir1 0.3333 0.6667 0.2500  6 O 1.94
O2 0.6382 0.6543 0.6353  1 Be 1.84, 1 Ir 1.94
Sn1 0.0000 0.0000 0.5000  6 O 2.12
Be1 0.6667 0.3333 0.2500  6 O 1.84
O3 0.3618 0.3457 0.3647  1 Be 1.84, 1 Ir 1.94
O4 0.9839 0.6382 0.3647  1 Be 1.84, 1 Ir 1.94
O5 0.0161 0.6543 0.8647  1 Be 1.84, 1 Ir 1.94
O6 0.3457 0.9839 0.6353  1 Be 1.84, 1 Ir 1.94
Ir2 0.6667 0.3333 0.7500  6 O 1.94
Sn2 0.0000 0.0000 0.0000  6 O 2.12
O7 0.9839 0.3457 0.1353  1 Be 1.84, 1 Ir 1.94
Be2 0.3333 0.6667 0.7500  6 O 1.84
O8 0.3618 0.0161 0.1353  1 Be 1.84, 1 Ir 1.94
O9 0.0161 0.3618 0.6353  1 Be 1.84, 1 Ir 1.94
O10 0.6543 0.0161 0.3647  1 Be 1.84, 1 Ir 1.94
O11 0.6382 0.9839 0.8647  1 Be 1.84, 1 Ir 1.94
O12 0.6543 0.6382 0.1353  1 Be 1.84, 1 Ir 1.94



First-principles (GGA-PBE) data for crystalline SrBe2IrO6 at its relaxed geometry, as listed in Alexandria.

Summary:
**ρ**: 5.466 Mg/m³
**E_tot**: -0.4812 Ry per atom
**Uncorrected formation energy**: -17.731 eV per formula unit

abc: 5.8238 6.6230 6.6230
angles: 89.58 75.62 75.62
With the nearest neighbours (Å) after each atom.
Fractional positions:
Ir1 0.2500 0.2920 0.7080  6 O 1.89-2.04
O1 0.0952 0.6168 0.2278  1 Be 1.58
O2 0.9048 0.3832 0.7722  1 Be 1.58
Ir2 0.7500 0.7080 0.2920  6 O 1.89-2.04
O3 0.1875 0.6099 0.7226  2 Be 1.67-1.80
O4 0.7797 0.0012 0.2643  1 Be 1.62
Be1 0.3657 0.7679 0.6277  3 O 1.58-1.67
O5 0.2203 0.9988 0.7357  1 Be 1.62
Sr1 0.7500 0.1004 0.8996  6 O 2.34-2.60
O6 0.3125 0.2774 0.3901  2 Be 1.67-1.80
O7 0.8125 0.3901 0.2774  2 Be 1.67-1.80
Be2 0.8657 0.6277 0.7679  3 O 1.58-1.67
Sr2 0.2500 0.8996 0.1004  6 O 2.34-2.60
O8 0.5952 0.2278 0.6168  1 Be 1.58
O9 0.4048 0.7722 0.3832  1 Be 1.58
O10 0.2797 0.2643 0.0012  1 Be 1.62
Be3 0.1343 0.3723 0.2321  3 O 1.58-1.67
O11 0.6875 0.7226 0.6099  2 Be 1.67-1.80
Be4 0.6343 0.2321 0.3723  3 O 1.58-1.67
O12 0.7203 0.7357 0.9988  1 Be 1.62



First-principles (GGA-PBE) data for crystalline Sr2BeIrO6 at its relaxed geometry, as listed in Alexandria.

Summary:
**ρ**: 6.928 Mg/m³
**E_tot**: -0.4751 Ry per atom
**Uncorrected formation energy**: -18.939 eV per formula unit

abc: 5.3929 5.3929 5.4523
angles: 60.29 60.29 89.85
With the nearest neighbours (Å) after each atom.
Fractional positions:
Sr1 0.7500 0.2500 0.5000  12 O 2.69-2.73
Sr2 0.2500 0.7500 0.5000  12 O 2.69-2.73
O1 0.2571 0.2571 0.9994  1 Be 1.86, 1 Ir 1.96
Be1 0.5000 0.5000 0.0000  6 O 1.85-1.93
Ir1 0.0000 0.0000 0.0000  6 O 1.96
O2 0.7426 0.2574 0.0000  1 Be 1.85, 1 Ir 1.96
O3 0.2517 0.2517 0.4954  1 Be 1.93, 1 Ir 1.96
O4 0.7429 0.7429 0.0007  1 Be 1.86, 1 Ir 1.96
O5 0.7483 0.7483 0.5046  1 Be 1.93, 1 Ir 1.96
O6 0.2574 0.7426 0.0000  1 Be 1.85, 1 Ir 1.96